{"formula": "TlTcTe2N", "functional": "GGA-PBE", "state": "optimized geometry", "magmom_total_mub_per_fu": 6.1, "e_form_raw_ev_per_fu": 8.8, "total_energy_ry_per_atom": -0.2732, "sg": "No. 123", "lattice_angstrom": [[5.859, 0.000, 0.000], [0.000, 5.859, 0.000], [0.000, 0.000, 4.222]], "species": ["Tl", "Tc", "Te", "Te", "N"], "frac_coords": [[0.000, 0.000, 0.000], [0.500, 0.500, 0.500], [0.000, 0.500, 0.000], [0.500, 0.000, 0.000], [0.000, 0.000, 0.500]]}